LaHf2FeRh | PBE-GGA | relaxed

Cell lengths 4.7279, 4.9187, 4.7279 Å; angles 90.00, 90.00, 90.00 degrees
Last column: nearest neighbours and their distance in Å.
Atoms (fractional coordinates):
1 Rh 0.0000 0.5000 0.0000  2 Fe 2.46
2 Hf 0.0000 0.0000 0.5000  2 Fe 2.36
3 Hf 0.5000 0.0000 0.0000  2 Fe 2.36
4 Fe 0.0000 0.0000 0.0000  4 Hf 2.36, 2 Rh 2.46
5 La 0.5000 0.5000 0.5000  4 Rh 3.34, 8 Hf 3.41

Properties
Energy of formation in eV per atom: 0.128
DFT total energy in eV/atom: -8.0020
Density in g/cm³: 9.9
M_tot in μB per cell: 1.1
Space-group type: No. 123